Material: TbDy5Pb6
Method: DFT, PBE-GGA
State: relaxed

The total magnetic moment is 0.000 μB/atom. The formation energy from the elements comes out at -429 meV/atom. As for the density of states at the Fermi level: 1.000 states/eV/atom. As for the calculated density: 10.881 g/cm³. Its space-group type is C2/m, No. 12. For the total energy, the calculation gives -55.04 eV per cell. The polymorph energy (0 for the lowest one) is 0.007 eV per atom.

abc: 5.0971 8.8666 9.0892
angles: 60.80 73.04 90.00
Positions (direct):
1 Dy 0.6668 0.6669 0.6661
2 Pb 0.1669 0.4171 0.6663
3 Dy 0.6669 0.1668 0.6664
4 Pb 0.1669 0.9166 0.6663
5 Dy 0.3332 0.3331 0.3339
6 Tb 0.0000 0.0000 0.0000
7 Dy 0.0000 0.5000 0.0000
8 Dy 0.3331 0.8332 0.3336
9 Pb 0.5000 0.7495 0.0000
10 Pb 0.8331 0.5829 0.3337
11 Pb 0.5000 0.2505 0.0000
12 Pb 0.8331 0.0834 0.3337